[1]
Material: SbPdO
Method: DFT, GGA-PBE
State: relaxed

## Properties
M_tot, μB/f.u.: 0.0
ρ, kg/m3: 7785
E_form (uncorrected), eV per atom: -0.237

Cell: 3.5311 3.5311 8.3538 Å, 90.00 90.00 90.00°
Space group I4mm (No. 107)
Asymmetric unit:
Sb  0.0000  0.0000  0.0000 (multiplicity 2)
Pd  0.0000  0.0000  0.3703 (multiplicity 2)
O  0.0000  0.0000  0.7583 (multiplicity 2)

***

[2]
Material: SbPd2O2
Method: DFT, GGA-PBE
State: relaxed

## Properties
M_tot, μB/f.u.: 0.0
ΔE to the lowest computed polymorph, eV per atom: 0.426
ρ, kg/m3: 8590
E_form (uncorrected), eV per atom: 0.046

Cell: 4.4467 4.4467 7.1676 Å, 90.00 90.00 90.00°
Space group I4/mmm (No. 139)
Asymmetric unit:
Sb  0.0000  0.0000  0.0000 (multiplicity 2)
Pd  0.0000  0.5000  0.2500 (multiplicity 4)
O  0.0000  0.0000  0.3983 (multiplicity 4)

***

[3]
Material: SiSb2PdO
Method: DFT, GGA-PBE
State: relaxed

## Properties
M_tot, μB/f.u.: 0.0
ρ, kg/m3: 6781
E_form (uncorrected), eV per atom: 0.166

Cell: 4.7858 4.7858 4.2130 Å, 90.00 90.00 90.00°
Space group P4/mmm (No. 123)
Asymmetric unit:
Si  0.0000  0.0000  0.0000 (multiplicity 1)
Sb  0.0000  0.5000  0.5000 (multiplicity 2)
Pd  0.5000  0.5000  0.0000 (multiplicity 1)
O  0.5000  0.5000  0.5000 (multiplicity 1)

***

> Which of these has the highest E_form (uncorrected)?

SiSb2PdO

***

> What is the ρ in the second record?

8590 kg/m3